# Tb3Y4ScS8 | the Alexandria database | GGA-PBE | optimized geometry
# **Magnetization**: 0.0 μB/f.u.
# **Energy**: -6.915 eV/atom
data_Tb3Y4ScS8
_space_group_name_H-M_alt 'R -3 m'
_space_group_IT_number 166
_space_group_name_Hall '-R 3 2"'
_cell_length_a 7.7971
_cell_length_b 7.7971
_cell_length_c 19.0894
_cell_angle_alpha 90.00
_cell_angle_beta 90.00
_cell_angle_gamma 120.00
loop_
_atom_site_label
_atom_site_type_symbol
_atom_site_fract_x
_atom_site_fract_y
_atom_site_fract_z
_atom_site_occupancy
Tb1 Tb 0.0000 0.5000 0.0000 1
Y1 Y 0.0000 0.0000 0.5000 1
Y2 Y 0.0000 0.5000 0.5000 1
Sc1 Sc 0.0000 0.0000 0.0000 1
S1 S 0.0000 0.0000 0.2497 1
S2 S 0.0082 0.5041 0.7483 1